Crystalline Ho2Zn2Ga at its relaxed geometry, computed with GGA-PBE.

Structure (extended XYZ):
```
10
Lattice="5.251 -2.180 0.000 5.251 2.180 0.000 -4.795 0.000 9.312" Properties=species:S:1:pos:R:3 pbc="T T T"
Ho -1.407 0.000 3.127
Ho 1.512 0.000 0.951
Ho 4.195 0.000 8.361
Ho 7.114 0.000 6.185
Zn 1.675 0.000 4.103
Zn 4.495 0.000 1.072
Zn 1.212 0.000 8.240
Zn 4.032 0.000 5.208
Ga -0.301 0.000 6.162
Ga 6.007 0.000 3.150
```

DFT formation energy, eV/atom: -0.444
E_tot, eV for the cell shown: -33.90
Calculated volume, Å³/atom: 21.32
Space-group type: No. 12